Record 1
# Sm2YZn2Ge2 (PBE, relaxed)
data_Sm2YZn2Ge2
_chemical_formula_sum 'Sm2 Y1 Zn2 Ge2'
_space_group_name_H-M_alt 'P 1'
_space_group_IT_number 1
_cell_length_a 11.529
_cell_length_b 11.529
_cell_length_c 11.529
_cell_angle_alpha 20.79
_cell_angle_beta 20.79
_cell_angle_gamma 20.79
loop_
_space_group_symop_operation_xyz
'x,y,z'
loop_
_atom_site_label
_atom_site_type_symbol
_atom_site_fract_x
_atom_site_fract_y
_atom_site_fract_z
Sm1 Sm 0.122 0.122 0.122
Sm2 Sm 0.878 0.878 0.878
Y1 Y 0.000 0.000 0.000
Zn1 Zn 0.392 0.392 0.392
Zn2 Zn 0.608 0.608 0.608
Ge1 Ge 0.271 0.271 0.271
Ge2 Ge 0.729 0.729 0.729
# DFT total energy = -31.0 eV per cell
# Total magnetic moment = 0.0003 μB per atom



Record 2
# Sm8ZnGe5 (PBE, relaxed)
data_Sm8ZnGe5
_chemical_formula_sum 'Sm8 Zn1 Ge5'
_space_group_name_H-M_alt 'P 1'
_space_group_IT_number 1
_cell_length_a 7.840
_cell_length_b 7.840
_cell_length_c 7.840
_cell_angle_alpha 109.60
_cell_angle_beta 109.60
_cell_angle_gamma 109.22
loop_
_space_group_symop_operation_xyz
'x,y,z'
loop_
_atom_site_label
_atom_site_type_symbol
_atom_site_fract_x
_atom_site_fract_y
_atom_site_fract_z
Sm1 Sm 0.015 0.128 0.756
Sm2 Sm 0.251 0.492 0.615
Sm3 Sm 0.365 0.749 0.242
Sm4 Sm 0.372 0.258 0.244
Sm5 Sm 0.508 0.123 0.758
Sm6 Sm 0.742 0.985 0.113
Sm7 Sm 0.872 0.628 0.887
Sm8 Sm 0.877 0.635 0.385
Zn1 Zn 0.750 0.250 0.500
Ge1 Ge 0.131 0.006 0.379
Ge2 Ge 0.249 0.869 0.875
Ge3 Ge 0.500 0.500 0.000
Ge4 Ge 0.627 0.751 0.621
Ge5 Ge 0.994 0.373 0.125
# DFT total energy = -72.0 eV per cell
# Total magnetic moment = 0.0000 μB per atom



Record 3
# Sm2Zn16Ge (PBE, relaxed)
data_Sm2Zn16Ge
_chemical_formula_sum 'Sm2 Zn16 Ge1'
_space_group_name_H-M_alt 'P 1'
_space_group_IT_number 1
_cell_length_a 6.830
_cell_length_b 6.830
_cell_length_c 6.830
_cell_angle_alpha 83.82
_cell_angle_beta 83.82
_cell_angle_gamma 83.82
loop_
_space_group_symop_operation_xyz
'x,y,z'
loop_
_atom_site_label
_atom_site_type_symbol
_atom_site_fract_x
_atom_site_fract_y
_atom_site_fract_z
Sm1 Sm 0.000 0.000 0.000
Sm2 Sm 0.333 0.333 0.333
Zn1 Zn 0.018 0.018 0.499
Zn2 Zn 0.018 0.499 0.018
Zn3 Zn 0.178 0.662 0.662
Zn4 Zn 0.319 0.319 0.832
Zn5 Zn 0.319 0.832 0.319
Zn6 Zn 0.362 0.667 0.973
Zn7 Zn 0.362 0.973 0.667
Zn8 Zn 0.499 0.018 0.018
Zn9 Zn 0.572 0.572 0.572
Zn10 Zn 0.662 0.178 0.662
Zn11 Zn 0.662 0.662 0.178
Zn12 Zn 0.667 0.362 0.973
Zn13 Zn 0.667 0.973 0.362
Zn14 Zn 0.832 0.319 0.319
Zn15 Zn 0.973 0.362 0.667
Zn16 Zn 0.973 0.667 0.362
Ge1 Ge 0.768 0.768 0.768
# DFT total energy = -38.8 eV per cell
# Total magnetic moment = 0.0000 μB per atom



Record 4
# Sm2ZnGe2 (PBE, relaxed)
data_Sm2ZnGe2
_chemical_formula_sum 'Sm2 Zn1 Ge2'
_space_group_name_H-M_alt 'P 1'
_space_group_IT_number 1
_cell_length_a 5.796
_cell_length_b 5.796
_cell_length_c 5.796
_cell_angle_alpha 137.21
_cell_angle_beta 118.49
_cell_angle_gamma 77.83
loop_
_space_group_symop_operation_xyz
'x,y,z'
loop_
_atom_site_label
_atom_site_type_symbol
_atom_site_fract_x
_atom_site_fract_y
_atom_site_fract_z
Sm1 Sm 0.208 0.208 0.000
Sm2 Sm 0.792 0.792 0.000
Zn1 Zn 0.500 0.000 0.500
Ge1 Ge 0.221 0.500 0.721
Ge2 Ge 0.779 0.500 0.279
# DFT total energy = -23.2 eV per cell
# Total magnetic moment = 0.0002 μB per atom



Record 5
# Sm2Zn2Ge3 (PBE, relaxed)
data_Sm2Zn2Ge3
_chemical_formula_sum 'Sm4 Zn4 Ge6'
_space_group_name_H-M_alt 'P 1'
_space_group_IT_number 1
_cell_length_a 10.164
_cell_length_b 10.164
_cell_length_c 6.772
_cell_angle_alpha 90.00
_cell_angle_beta 90.00
_cell_angle_gamma 155.37
loop_
_space_group_symop_operation_xyz
'x,y,z'
loop_
_atom_site_label
_atom_site_type_symbol
_atom_site_fract_x
_atom_site_fract_y
_atom_site_fract_z
Sm1 Sm 0.040 0.960 0.750
Sm2 Sm 0.158 0.842 0.250
Sm3 Sm 0.842 0.158 0.750
Sm4 Sm 0.960 0.040 0.250
Zn1 Zn 0.310 0.690 0.050
Zn2 Zn 0.310 0.690 0.450
Zn3 Zn 0.690 0.310 0.550
Zn4 Zn 0.690 0.310 0.950
Ge1 Ge 0.213 0.787 0.750
Ge2 Ge 0.433 0.567 0.561
Ge3 Ge 0.433 0.567 0.939
Ge4 Ge 0.567 0.433 0.061
Ge5 Ge 0.567 0.433 0.439
Ge6 Ge 0.787 0.213 0.250
# DFT total energy = -59.0 eV per cell
# Total magnetic moment = 0.0000 μB per atom



Record 6
# Sm2ZnGe2 (PBE, relaxed)
data_Sm2ZnGe2
_chemical_formula_sum 'Sm4 Zn2 Ge4'
_space_group_name_H-M_alt 'P 1'
_space_group_IT_number 1
_cell_length_a 5.928
_cell_length_b 5.928
_cell_length_c 10.851
_cell_angle_alpha 117.56
_cell_angle_beta 117.56
_cell_angle_gamma 43.12
loop_
_space_group_symop_operation_xyz
'x,y,z'
loop_
_atom_site_label
_atom_site_type_symbol
_atom_site_fract_x
_atom_site_fract_y
_atom_site_fract_z
Sm1 Sm 0.107 0.107 0.416
Sm2 Sm 0.290 0.290 0.847
Sm3 Sm 0.710 0.710 0.153
Sm4 Sm 0.893 0.893 0.584
Zn1 Zn 0.461 0.461 0.201
Zn2 Zn 0.539 0.539 0.799
Ge1 Ge 0.050 0.050 0.919
Ge2 Ge 0.377 0.377 0.382
Ge3 Ge 0.623 0.623 0.618
Ge4 Ge 0.950 0.950 0.081
# DFT total energy = -46.9 eV per cell
# Total magnetic moment = 0.0000 μB per atom